Entry 1:
Here is an optimized crystal structure of CePOsO from the Alexandria database. Energies are from PBE.

Values from the calculation:
- calculated volume (Å³ per cell) = 130
- uncorrected energy (eV/atom) = -8.7739
- Fermi-level density of states (states/eV per cell) = 6.678
- magnetization (μB/f.u.) = 0.64

Lattice parameters (Å, degrees): 4.039 4.039 7.975 90.00 90.00 90.00
Space group P4/nmm (No. 129, origin choice 2)
Symmetry-distinct sites (fractional):
Ce  0.250  0.250  0.151 x2
P  0.250  0.250  0.650 x2
Os  0.250  0.750  0.500 x2
O  0.250  0.750  0.000 x2

Entry 2:
Here is an optimized crystal structure of AcPr2Nd2Sm2 from the Alexandria database. Energies are from PBE.

Values from the calculation:
- calculated volume (Å³ per cell) = 511
- uncorrected energy (eV/atom) = -4.6379
- Fermi-level density of states (states/eV per cell) = 23.658
- DFT formation energy (eV per atom) = 0.025
- magnetization (μB/f.u.) = 0.00

Lattice parameters (Å, degrees): 11.769 5.267 8.325 90.00 98.15 90.00
Space group C2/m (No. 12)
Symmetry-distinct sites (fractional):
Ac  0.000  0.000  0.000 x2
Pr  0.214  0.500  0.150 x4
Nd  0.074  0.500  0.708 x4
Sm  0.142  0.000  0.433 x4

Entry 3:
Here is an optimized crystal structure of Ba2SiNiAg from the Alexandria database. Energies are from PBE.

Values from the calculation:
- calculated volume (Å³ per cell) = 160
- uncorrected energy (eV/atom) = -3.7828
- Fermi-level density of states (states/eV per cell) = 3.825
- magnetization (μB/f.u.) = 0.00

Lattice parameters (Å, degrees): 6.056 6.056 4.362 90.00 90.00 90.00
Space group P4/mmm (No. 123)
Symmetry-distinct sites (fractional):
Ba  0.000  0.500  0.000 x2
Si  0.000  0.000  0.500 x1
Ni  0.000  0.000  0.000 x1
Ag  0.500  0.500  0.500 x1

Entry 4:
Here is an optimized crystal structure of MnRe from the Alexandria database. Energies are from PBE.

Values from the calculation:
- calculated volume (Å³ per cell) = 54
- uncorrected energy (eV/atom) = -10.7145
- Fermi-level density of states (states/eV per cell) = 2.277
- DFT formation energy (eV per atom) = 0.094
- magnetization (μB/f.u.) = 2.00

Lattice parameters (Å, degrees): 3.157 4.183 4.108 90.00 90.00 90.00
Space group Cmmm (No. 65)
Symmetry-distinct sites (fractional):
Mn  0.000  0.000  0.000 x2
Re  0.000  0.500  0.500 x2

Entry 5:
Here is an optimized crystal structure of MgZn2P from the Alexandria database. Energies are from PBE.

Values from the calculation:
- calculated volume (Å³ per cell) = 67
- uncorrected energy (eV/atom) = -2.2904
- Fermi-level density of states (states/eV per cell) = 1.526
- DFT formation energy (eV per atom) = 0.098
- magnetization (μB/f.u.) = 0.00

Lattice parameters (Å, degrees): 2.944 2.944 7.697 90.00 90.00 90.00
Space group P4mm (No. 99)
Symmetry-distinct sites (fractional):
Mg  0.000  0.000  0.000 x1
Zn  0.000  0.000  0.502 x1
Zn  0.500  0.500  0.732 x1
P  0.500  0.500  0.242 x1

Entry 6:
Here is an optimized crystal structure of RbSrPS2 from the Alexandria database. Energies are from PBE.

Values from the calculation:
- calculated volume (Å³ per cell) = 164
- uncorrected energy (eV/atom) = -2.8002
- Fermi-level density of states (states/eV per cell) = 6.608
- magnetization (μB/f.u.) = 0.05

Lattice parameters (Å, degrees): 5.566 5.566 5.307 90.00 90.00 90.00
Space group P4/mmm (No. 123)
Symmetry-distinct sites (fractional):
Rb  0.000  0.000  0.000 x1
Sr  0.500  0.500  0.500 x1
P  0.000  0.000  0.500 x1
S  0.000  0.500  0.000 x2

Entry 7:
Here is an optimized crystal structure of La4IrCCl2 from the Alexandria database. Energies are from PBE.

Values from the calculation:
- calculated volume (Å³ per cell) = 211
- uncorrected energy (eV/atom) = -6.2888
- Fermi-level density of states (states/eV per cell) = 6.838
- magnetization (μB/f.u.) = 0.00

Lattice parameters (Å, degrees): 7.066 4.058 7.652 90.00 106.40 90.00
Space group P2/m (No. 10)
Symmetry-distinct sites (fractional):
La  0.223  0.000  0.194 x2
La  0.238  0.500  0.794 x2
Ir  0.500  0.000  0.000 x1
C  0.000  0.500  0.000 x1
Cl  0.000  0.000  0.500 x1
Cl  0.500  0.500  0.500 x1

Entry 8:
Here is an optimized crystal structure of Ce2NdPbN from the Alexandria database. Energies are from PBE.

Values from the calculation:
- calculated volume (Å³ per cell) = 123
- uncorrected energy (eV/atom) = -6.5965
- Fermi-level density of states (states/eV per cell) = 9.256
- magnetization (μB/f.u.) = 1.76

Lattice parameters (Å, degrees): 4.898 4.898 5.123 90.00 90.00 90.00
Space group P4/mmm (No. 123)
Symmetry-distinct sites (fractional):
Ce  0.000  0.500  0.000 x2
Nd  0.000  0.000  0.500 x1
Pb  0.500  0.500  0.500 x1
N  0.000  0.000  0.000 x1

- Among the records above, which one has the lowest calculated volume?
  MnRe

- The highest calculated volume belongs to which entry?
  AcPr2Nd2Sm2